# In2BrCl PBEsol optimized geometry
data_In2BrCl
_cell_length_a 6.4043
_cell_length_b 6.4043
_cell_length_c 6.4043
_cell_angle_alpha 146.18
_cell_angle_beta 131.62
_cell_angle_gamma 60.33
_symmetry_space_group_name_H-M 'P 1'
_symmetry_Int_Tables_number 1
loop_
_symmetry_equiv_pos_as_xyz
'x,y,z'
loop_
_atom_site_label
_atom_site_fract_x
_atom_site_fract_y
_atom_site_fract_z
_atom_site_occupancy
In1 0.0000 0.0000 0.0000 1
In2 0.7404 0.2404 0.5000 1
Br1 0.5074 0.5074 0.0000 1
Cl1 0.2135 0.7135 0.5000 1
# Volume   27.1 Å³ per atom
# Magnetization   0.00 μB per formula unit
# ΔE to the lowest computed polymorph   71 meV per atom
# Space-group type   No. 44